1.
# TlAgPO4

TlAgPO4 after structural relaxation (PBE, the Alexandria database).

The structure belongs to space group Imma (No. 74); the cell edges are 6.3072, 7.5362 and 8.4665 Å and the angles 90.00°, 90.00° and 90.00°. The asymmetric unit holds Tl at (0.0000, 0.0000, 0.0000), Ag at (0.2500, 0.2500, 0.2500), P at (0.0000, 0.2500, 0.6131), O at (0.0000, 0.0769, 0.7090) and O at (0.2062, 0.2500, 0.5037).

The value obtained for the energy relative to the elements, uncorrected is -1.251 eV/atom. The calculated density comes out at 6721 kg/m³. As for the density of states at the Fermi level: 9.92 states/eV per cell.

---

2.
# Be2TeCl

Be2TeCl after structural relaxation (PBE, the Alexandria database).

The structure belongs to space group F-43m (No. 216); the cell edges are 6.6416, 6.6416 and 6.6416 Å and the angles 90.00°, 90.00° and 90.00°. The asymmetric unit holds Be at (0.0000, 0.0000, 0.0000), Be at (0.2500, 0.2500, 0.2500), Te at (0.2500, 0.2500, 0.7500) and Cl at (0.0000, 0.0000, 0.5000).

The value obtained for the energy relative to the elements, uncorrected is 0.875 eV/atom. The calculated density comes out at 4105 kg/m³. The value obtained for the energy above the most stable polymorph in this dataset is 1019 meV/atom. As for the density of states at the Fermi level: 14.24 states/eV per cell.

---

3.
# Sr3Nd3SmS8

Sr3Nd3SmS8 after structural relaxation (PBE, the Alexandria database).

The structure belongs to space group R-3m (No. 166, hexagonal axes); the cell edges are 8.2273, 8.2273 and 20.7676 Å and the angles 90.00°, 90.00° and 120.00°. The asymmetric unit holds Sr at (0.0000, 0.5000, 0.0000), Nd at (0.0000, 0.5000, 0.5000), Sm at (0.0000, 0.0000, 0.5000), S at (0.0000, 0.0000, 0.2466) and S at (0.0062, 0.5031, 0.2435).

The value obtained for the energy relative to the elements, uncorrected is -2.070 eV/atom. The calculated density comes out at 4511 kg/m³. As for the density of states at the Fermi level: 14.59 states/eV per cell.

---

4.
# BaSi2Rh

BaSi2Rh after structural relaxation (PBE, the Alexandria database).

The structure belongs to space group I4_1/amd (No. 141, origin choice 2); the cell edges are 5.1798, 5.1798 and 15.4073 Å and the angles 90.00°, 90.00° and 90.00°. The asymmetric unit holds Ba at (0.0000, 0.2500, 0.3750), Si at (0.0000, 0.0000, 0.0000) and Rh at (0.0000, 0.2500, 0.8750).

The value obtained for the energy relative to the elements, uncorrected is -0.483 eV/atom. The calculated density comes out at 4763 kg/m³. As for the density of states at the Fermi level: 11.49 states/eV per cell.

---

5.
# Ho2In3Co

Ho2In3Co after structural relaxation (PBE, the Alexandria database).

The structure belongs to space group Pmm2 (No. 25); the cell edges are 3.5828, 4.7473 and 8.2054 Å and the angles 90.00°, 90.00° and 90.00°. The asymmetric unit holds Ho at (0.0000, 0.0000, 0.0000), Ho at (0.0000, 0.5000, 0.4342), In at (0.5000, 0.0000, 0.5938), In at (0.5000, 0.5000, 0.1354), In at (0.5000, 0.5000, 0.7880) and Co at (0.5000, 0.0000, 0.2717).

The calculated density comes out at 8724 kg/m³. Its calculated formation energy is -174 kJ/mol of formula units. As for the density of states at the Fermi level: 3.70 states/eV per cell.

---

6.
# Li5ZnRh2

Li5ZnRh2 after structural relaxation (PBE, the Alexandria database).

The structure belongs to space group Pbam (No. 55); the cell edges are 5.6945, 11.3749 and 3.3638 Å and the angles 90.00°, 90.00° and 90.00°. The asymmetric unit holds Li at (0.0000, 0.0000, 0.0000), Li at (0.0071, 0.2524, 0.0000), Li at (0.2424, 0.8746, 0.5000), Zn at (0.0000, 0.5000, 0.0000) and Rh at (0.2384, 0.6214, 0.5000).

The calculated density comes out at 4663 kg/m³. Its calculated formation energy is -145 kJ/mol of formula units. As for the density of states at the Fermi level: 4.44 states/eV per cell.

---

7.
# Cs2CaNbCl6

Cs2CaNbCl6 after structural relaxation (PBE, the Alexandria database).

The structure belongs to space group Fm-3m (No. 225); the cell edges are 10.6670, 10.6670 and 10.6670 Å and the angles 90.00°, 90.00° and 90.00°. The asymmetric unit holds Cs at (0.2500, 0.2500, 0.2500), Ca at (0.0000, 0.0000, 0.0000), Nb at (0.0000, 0.0000, 0.5000) and Cl at (0.0000, 0.0000, 0.2563).

The value obtained for the energy relative to the elements, uncorrected is -1.762 eV/atom. The calculated density comes out at 3346 kg/m³. As for the density of states at the Fermi level: 0.00 states/eV per cell.

---

8.
# Hf6Mn2Al

Hf6Mn2Al after structural relaxation (PBE, the Alexandria database).

The structure belongs to space group Immm (No. 71); the cell edges are 8.5808, 8.6530 and 9.3955 Å and the angles 90.00°, 90.00° and 90.00°. The asymmetric unit holds Hf at (0.0000, 0.1901, 0.1778), Hf at (0.1925, 0.2207, 0.5000), Hf at (0.2030, 0.5000, 0.2575), Mn at (0.0000, 0.0000, 0.3891), Mn at (0.1743, 0.0000, 0.0000), Al at (0.0000, 0.5000, 0.0000) and Al at (0.0000, 0.5000, 0.5000).

The calculated density comes out at 11500 kg/m³. Its calculated formation energy is -123 kJ/mol of formula units. As for the density of states at the Fermi level: 24.31 states/eV per cell.

---

9.
# Sc2SnTe

Sc2SnTe after structural relaxation (PBE, the Alexandria database).

The structure belongs to space group R-3m (No. 166, hexagonal axes); the cell edges are 4.4947, 4.4947 and 24.2433 Å and the angles 90.00°, 90.00° and 120.00°. The asymmetric unit holds Sc at (0.0000, 0.0000, 0.1102), Sn at (0.0000, 0.0000, 0.5000) and Te at (0.0000, 0.0000, 0.0000).

The value obtained for the energy relative to the elements, uncorrected is -0.388 eV/atom. The calculated density comes out at 3949 kg/m³. The value obtained for the energy above the most stable polymorph in this dataset is 488 meV/atom. As for the density of states at the Fermi level: 0.00 states/eV per cell.

---

10.
# LiMgCl2

LiMgCl2 after structural relaxation (PBE, the Alexandria database).

The structure belongs to space group Cmmm (No. 65); the cell edges are 3.4548, 6.8852 and 7.7145 Å and the angles 90.00°, 90.00° and 90.00°. The asymmetric unit holds Li at (0.0000, 0.0000, 0.0000), Mg at (0.0000, 0.0000, 0.5000) and Cl at (0.0000, 0.5000, 0.2214).

The value obtained for the energy relative to the elements, uncorrected is -1.190 eV/atom. The calculated density comes out at 1849 kg/m³. The value obtained for the energy above the most stable polymorph in this dataset is 104 meV/atom. As for the density of states at the Fermi level: 2.62 states/eV per cell.

---

11.
# Rb2HgClO

Rb2HgClO after structural relaxation (PBE, the Alexandria database).

The structure belongs to space group P4/mmm (No. 123); the cell edges are 5.8263, 5.8263 and 4.5427 Å and the angles 90.00°, 90.00° and 90.00°. The asymmetric unit holds Rb at (0.0000, 0.5000, 0.0000), Hg at (0.0000, 0.0000, 0.5000), Cl at (0.5000, 0.5000, 0.5000) and O at (0.0000, 0.0000, 0.0000).

The value obtained for the energy relative to the elements, uncorrected is -1.141 eV/atom. The calculated density comes out at 4555 kg/m³. As for the density of states at the Fermi level: 0.97 states/eV per cell.

---

12.
# Mg2ZrFe2

Mg2ZrFe2 after structural relaxation (PBE, the Alexandria database).

The structure belongs to space group P4/mbm (No. 127); the cell edges are 6.6762, 6.6762 and 3.9114 Å and the angles 90.00°, 90.00° and 90.00°. The asymmetric unit holds Mg at (0.1675, 0.3325, 0.0000), Zr at (0.0000, 0.0000, 0.5000) and Fe at (0.1220, 0.6220, 0.5000).

The calculated density comes out at 4791 kg/m³. The value obtained for the energy above the most stable polymorph in this dataset is 0 meV/atom. Its calculated formation energy is 108 kJ/mol of formula units. As for the density of states at the Fermi level: 7.69 states/eV per cell.

---

> Look up the calculated density of the twelfth one.

4791 kg/m³

---

> Among the records above, which one has the highest calculated density?

Hf6Mn2Al

---

> Among the records above, which one has the highest calculated density?

Hf6Mn2Al

---

> Among the records above, which one has the lowest calculated density?

LiMgCl2